Model i:
Below is a geometry-optimized PuInRe structure, with properties calculated at the GGA-PBE level.

Geometry as POSCAR:
```
PuInRe
1.0
0.0000 3.2861 3.2861
3.2861 0.0000 3.2861
3.2861 3.2861 0.0000
Pu In Re
1 1 1
direct
0.0000 0.0000 0.0000
0.5000 0.5000 0.5000
0.2500 0.2500 0.2500
```

For the magnetization, the calculation gives 4.15 μB/cell.

Model ii:
Below is a geometry-optimized PuInRe structure, with properties calculated at the GGA-PBE level.

Geometry as POSCAR:
```
PuInRe
1.0
0.0000 3.2762 3.2762
3.2762 0.0000 3.2762
3.2762 3.2762 0.0000
Pu In Re
1 1 1
direct
0.0000 0.0000 0.0000
0.7500 0.7500 0.7500
0.2500 0.2500 0.2500
```

For the magnetization, the calculation gives 3.98 μB/cell.

Most stable to least stable, the ends of the list are model i and model ii.

Model i:
Below is a geometry-optimized RbInRe structure, with properties calculated at the GGA-PBE level.

Geometry as POSCAR:
```
RbInRe
1.0
0.0000 3.6138 3.6138
3.6138 0.0000 3.6138
3.6138 3.6138 0.0000
Rb In Re
1 1 1
direct
0.0000 0.0000 0.0000
0.5000 0.5000 0.5000
0.7500 0.7500 0.7500
```

For the magnetization, the calculation gives 2.83 μB/cell.

Model ii:
Below is a geometry-optimized RbInRe structure, with properties calculated at the GGA-PBE level.

Geometry as POSCAR:
```
RbInRe
1.0
0.0000 3.7996 3.7996
3.7996 0.0000 3.7996
3.7996 3.7996 0.0000
Rb In Re
1 1 1
direct
0.0000 0.0000 0.0000
0.7500 0.7500 0.7500
0.2500 0.2500 0.2500
```

For the magnetization, the calculation gives 3.30 μB/cell.

Most stable to least stable, the ends of the list are model i and model ii.

Model i:
Below is a geometry-optimized RbTmInSe3 structure, with properties calculated at the GGA-PBE level.

Geometry as POSCAR:
```
RbTmInSe3
1.0
2.0892 -8.0806 0.0000
2.0892 8.0806 0.0000
0.0000 0.0000 11.6121
Rb Tm In Se
2 2 2 6
direct
0.2157 0.7843 0.7500
0.7843 0.2157 0.2500
0.5000 0.5000 0.0000
0.5000 0.5000 0.5000
0.0843 0.9157 0.2500
0.9157 0.0843 0.7500
0.1195 0.8805 0.0165
0.1195 0.8805 0.4835
0.4717 0.5283 0.2500
0.5283 0.4717 0.7500
0.8805 0.1195 0.5165
0.8805 0.1195 0.9835
```

For the magnetization, the calculation gives 0.04 μB/cell.

Model ii:
Below is a geometry-optimized RbTmInSe3 structure, with properties calculated at the GGA-PBE level.

Geometry as POSCAR:
```
RbTmInSe3
1.0
15.9196 0.0000 0.0000
0.0000 4.0696 0.0000
0.0000 0.0000 11.9516
Rb Tm In Se
4 4 4 12
direct
0.2306 0.2500 0.0760
0.2694 0.7500 0.5760
0.7306 0.2500 0.4240
0.7694 0.7500 0.9240
0.0009 0.7500 0.6443
0.4991 0.2500 0.1443
0.5009 0.7500 0.8557
0.9991 0.2500 0.3557
0.0262 0.2500 0.9021
0.4738 0.7500 0.4021
0.5262 0.2500 0.5979
0.9738 0.7500 0.0979
0.0973 0.7500 0.2464
0.0989 0.2500 0.5477
0.1251 0.7500 0.8269
0.3749 0.2500 0.3269
0.4011 0.7500 0.0477
0.4027 0.2500 0.7464
0.5973 0.7500 0.2536
0.5989 0.2500 0.9523
0.6251 0.7500 0.6731
0.8749 0.2500 0.1731
0.9011 0.7500 0.4523
0.9027 0.2500 0.7536
```

For the magnetization, the calculation gives 0.02 μB/cell.

Most stable to least stable, the ends of the list are model ii and model i.